An optimized crystal structure of SrP2AuSe8. Source: Alexandria, functional PBE.

Uncorrected formation energy (eV/atom): -0.280
Spin magnetization (μB per cell): 0.0

Lattice parameters (Å, degrees): 6.1361 6.1361 9.2500 90.00 90.00 120.00
Space group P-3 (No. 147)
Asymmetric unit:
Sr  0.0000  0.0000  0.0000 [1 per cell]
P  0.3333  0.6667  0.7556 [2 per cell]
Au  0.0000  0.0000  0.5000 [1 per cell]
Se  0.0301  0.6819  0.3134 [6 per cell]
Se  0.3333  0.6667  0.9942 [2 per cell]